Entry 1:
The following is a PBE calculation of Cd2TeW after structural relaxation, from the Alexandria database.

a b c (Å): 9.4709 9.4709 7.1713
angles (deg): 48.67 48.67 90.00
Each line ends with the local moment (μB).
Element x y z (fractional)
Te  0.5000  0.5000  0.0000  -0.01
W  0.0000  0.0000  0.0000  0.42
Cd  0.8750  0.9811  0.7500  0.00
Cd  0.3750  0.2689  0.7500  0.00
W  0.7500  0.2500  0.5000  0.42
Cd  0.7311  0.1250  0.2500  0.00
Cd  0.0189  0.6250  0.2500  0.00
Te  0.2500  0.7500  0.5000  -0.01

Computed properties:
For the uncorrected formation energy, the calculation gives 851 meV/atom.


Entry 2:
The following is a PBE calculation of KTcOs after structural relaxation, from the Alexandria database.

a b c (Å): 5.0407 5.0407 2.5200
angles (deg): 90.00 90.00 120.00
Element x y z (fractional)
K  0.0000  0.0000  0.0001
Tc  0.3333  0.6667  0.4999
Os  0.6667  0.3333  0.5000

Computed properties:
The calculation puts the formation enthalpy at 0 K at 1.519 eV per atom. The calculation puts the energy above the most stable polymorph in this dataset at 643 meV per atom.


Entry 3:
The following is a PBE calculation of CuAgPt2 after structural relaxation, from the Alexandria database.

a b c (Å): 2.7428 2.7428 9.4195
angles (deg): 90.00 90.00 118.81
Element x y z (fractional)
Pt  0.5000  0.5000  0.2490
Ag  0.0000  0.0000  0.5124
Cu  0.5000  0.5000  0.7538
Pt  0.0000  0.0000  0.9848

Computed properties:
The calculation puts the formation enthalpy at 0 K at 0.025 eV per atom. The calculation puts the energy above the most stable polymorph in this dataset at 160 meV per atom.


Entry 4:
The following is a PBE calculation of CaPCl2 after structural relaxation, from the Alexandria database.

a b c (Å): 6.9135 6.9135 4.9739
angles (deg): 87.22 87.22 29.07
Element x y z (fractional)
P  0.7500  0.7500  0.7500
Ca  0.2500  0.2500  0.2500
Cl  0.8936  0.8936  0.0279
Cl  0.6064  0.6064  0.4721

Computed properties:
For the uncorrected formation energy, the calculation gives -1060 meV/atom. The calculation puts the energy above the most stable polymorph in this dataset at 0 meV per atom.


Entry 5:
The following is a PBE calculation of SbAsP2 after structural relaxation, from the Alexandria database.

a b c (Å): 3.3757 3.3757 8.5144
angles (deg): 90.00 90.00 115.85
Element x y z (fractional)
Sb  0.0000  0.0000  0.4434
P  0.0000  0.0000  0.0079
As  0.5000  0.5000  0.8248
P  0.5000  0.5000  0.2240

Computed properties:
For the uncorrected formation energy, the calculation gives 523 meV/atom. The calculation puts the energy above the most stable polymorph in this dataset at 437 meV per atom.


Entry 6:
The following is a PBE calculation of MgCd2RhO6 after structural relaxation, from the Alexandria database.

a b c (Å): 5.4449 5.5253 7.7752
angles (deg): 90.00 90.11 90.00
Each line ends with the local moment (μB).
Element x y z (fractional)
Cd  0.0071  0.9528  0.2512  0.00
O  0.3996  0.9591  0.7422  -0.04
O  0.7033  0.3112  0.9497  0.12
Mg  0.0000  0.5000  0.5000  0.00
O  0.1004  0.4591  0.7578  0.04
O  0.7967  0.8112  0.5503  -0.12
Mg  0.5000  0.0000  0.0000  0.00
O  0.3168  0.7053  0.4439  -0.12
O  0.8168  0.7947  0.9438  0.12
Rh  0.0000  0.5000  0.0000  0.85
O  0.6832  0.2947  0.5561  -0.12
O  0.2967  0.6888  0.0503  0.12
Rh  0.5000  0.0000  0.5000  -0.85
O  0.8996  0.5409  0.2422  0.04
Cd  0.5071  0.5472  0.7510  0.00
Cd  0.4929  0.4528  0.2490  0.00
O  0.1832  0.2053  0.0562  0.12
O  0.2033  0.1888  0.4497  -0.12
Cd  0.9929  0.0472  0.7488  0.00
O  0.6004  0.0409  0.2578  -0.04

Computed properties:
For the uncorrected formation energy, the calculation gives -1090 meV/atom.


Number 1: spin magnetization 1.0 μB/cell. Number 2: spin magnetization 0.0 μB/cell. Number 3: spin magnetization 0.0 μB/cell. Number 4: spin magnetization 0.0 μB/cell. Number 5: spin magnetization 0.0 μB/cell. Number 6: spin magnetization 0.0 μB/cell.